(1)
Crystalline KIn2TcPt at its relaxed geometry. Source: Alexandria, functional PBE.

Cell: 5.2836 4.9052 5.2836 Å, 90.00 90.00 90.00°
Element x y z (fractional)
K: 0.5000 0.5000 0.5000
Tc: 0.0000 0.0000 0.0000
Pt: 0.0000 0.5000 0.0000
In: 0.0000 0.0000 0.5000
In: 0.5000 0.0000 0.0000

## Properties
energy of formation from the pure elements = 19 kJ per mole of atoms

(2)
Crystalline LuCdIn at its relaxed geometry. Source: Alexandria, functional PBE.

Cell: 4.8238 4.8238 4.8238 Å, 60.00 60.00 60.00°
Element x y z (fractional)
Cd: 0.2500 0.2500 0.2500
Lu: 0.5000 0.5000 0.5000
In: 0.0000 0.0000 0.0000

## Properties
energy of formation from the pure elements = -19 kJ per mole of atoms

(3)
Crystalline HfSnPt2 at its relaxed geometry. Source: Alexandria, functional PBE.

Cell: 3.4803 3.4803 6.2776 Å, 90.00 90.00 90.00°
Element x y z (fractional)
Hf: 0.5000 0.5000 0.0000
Sn: 0.5000 0.5000 0.5000
Pt: 0.0000 0.0000 0.7788
Pt: 0.0000 0.0000 0.2212

## Properties
energy of formation from the pure elements = -78 kJ per mole of atoms

(4)
Crystalline CrCuP at its relaxed geometry. Source: Alexandria, functional PBE.

Cell: 4.8099 4.8099 4.8099 Å, 144.82 144.82 50.60°
Element x y z (fractional)
Cr: 0.9773 0.9773 0.0000
Cu: 0.6718 0.6718 0.0000
P: 0.3509 0.3509 0.0000

## Properties
energy of formation from the pure elements = 8 kJ per mole of atoms

(5)
Crystalline Cs3SrPb2F9 at its relaxed geometry. Source: Alexandria, functional PBE.

Cell: 6.8922 6.8922 8.4468 Å, 90.00 90.00 120.00°
Element x y z (fractional)
Cs: 0.3333 0.6667 0.6700
Cs: 0.0000 0.0000 0.0000
Cs: 0.6667 0.3333 0.3300
Sr: 0.0000 0.0000 0.5000
Pb: 0.3333 0.6667 0.1701
Pb: 0.6667 0.3333 0.8299
F: 0.8352 0.1648 0.6647
F: 0.8352 0.6704 0.6647
F: 0.3296 0.1648 0.6647
F: 0.6704 0.8352 0.3353
F: 0.1648 0.3296 0.3353
F: 0.1648 0.8352 0.3353
F: 0.5000 0.0000 0.0000
F: 0.0000 0.5000 0.0000
F: 0.5000 0.5000 0.0000

## Properties
formation energy without anion corrections = -2.832 eV/atom

(6)
Crystalline HfIr2Au2 at its relaxed geometry. Source: Alexandria, functional PBE.

Cell: 7.3169 7.3169 3.2872 Å, 90.00 90.00 90.00°
Element x y z (fractional)
Hf: 0.0000 0.0000 0.0000
Hf: 0.5000 0.5000 0.0000
Ir: 0.1585 0.6585 0.5000
Ir: 0.6585 0.8415 0.5000
Ir: 0.8415 0.3415 0.5000
Ir: 0.3415 0.1585 0.5000
Au: 0.3594 0.8594 0.0000
Au: 0.8594 0.6406 0.0000
Au: 0.6406 0.1406 0.0000
Au: 0.1406 0.3594 0.0000

## Properties
distance to the lowest polymorph of the same formula = 0.0 kJ per mole of atoms
energy of formation from the pure elements = 11 kJ per mole of atoms

(7)
Crystalline ThGa3Tc2 at its relaxed geometry. Source: Alexandria, functional PBE.

Cell: 5.4846 6.3950 6.3950 Å, 97.75 90.00 90.00°
Element x y z (fractional)
Th: 0.2500 0.3405 0.3405
Th: 0.7500 0.6595 0.6595
Ga: 0.7500 0.4422 0.0972
Ga: 0.7500 0.0972 0.4422
Ga: 0.2500 0.5578 0.9028
Ga: 0.7500 0.0339 0.0339
Ga: 0.2500 0.9661 0.9661
Ga: 0.2500 0.9028 0.5578
Tc: 0.5000 0.7710 0.2290
Tc: 0.0000 0.7710 0.2290
Tc: 0.0000 0.2290 0.7710
Tc: 0.5000 0.2290 0.7710

## Properties
energy of formation from the pure elements = -31 kJ per mole of atoms

(8)
Crystalline Al3SiPb at its relaxed geometry. Source: Alexandria, functional PBE.

Cell: 5.3068 5.3068 5.3068 Å, 90.00 90.00 90.00°
Element x y z (fractional)
Pb: 0.0000 0.0000 0.0000
Si: 0.5000 0.5000 0.5000
Al: 0.0000 0.5000 0.0000
Al: 0.0000 0.0000 0.5000
Al: 0.5000 0.0000 0.0000

## Properties
formation energy without anion corrections = 1.304 eV/atom
distance to the lowest polymorph of the same formula = 82.9 kJ per mole of atoms

(9)
Crystalline Ca2BeZnC at its relaxed geometry. Source: Alexandria, functional PBE.

Cell: 5.2368 5.2368 3.4410 Å, 90.00 90.00 90.00°
Element x y z (fractional)
C: 0.0000 0.0000 0.0000
Be: 0.0000 0.0000 0.5000
Zn: 0.5000 0.5000 0.5000
Ca: 0.0000 0.5000 0.0000
Ca: 0.5000 0.0000 0.0000

## Properties
energy of formation from the pure elements = 2 kJ per mole of atoms

(10)
Crystalline Ba2OsW at its relaxed geometry. Source: Alexandria, functional PBE.

Cell: 12.0278 12.0278 8.8318 Å, 47.08 47.08 90.00°
Element x y z (fractional)
Os: 0.0000 0.0000 0.0000
Os: 0.7500 0.2500 0.5000
Ba: 0.7980 0.1250 0.2500
Ba: 0.9520 0.6250 0.2500
Ba: 0.3750 0.2020 0.7500
Ba: 0.8750 0.0480 0.7500
W: 0.5000 0.5000 0.0000
W: 0.2500 0.7500 0.5000

## Properties
distance to the lowest polymorph of the same formula = 69.3 kJ per mole of atoms
energy of formation from the pure elements = 108 kJ per mole of atoms

(11)
Crystalline CeFeSe2 at its relaxed geometry. Source: Alexandria, functional PBE.

Cell: 3.6585 3.6585 8.7615 Å, 77.95 77.95 60.00°
Element x y z (fractional)
Se: 0.1114 0.1114 0.6657
Se: 0.8886 0.8886 0.3343
Ce: 0.0000 0.0000 0.0000
Fe: 0.5000 0.5000 0.5000

## Properties
formation energy without anion corrections = -0.255 eV/atom

(12)
Crystalline KNa2SnPt at its relaxed geometry. Source: Alexandria, functional PBE.

Cell: 5.6337 5.6337 5.0944 Å, 90.00 90.00 90.00°
Element x y z (fractional)
Na: 0.0000 0.5000 0.0000
Na: 0.5000 0.0000 0.0000
K: 0.5000 0.5000 0.5000
Sn: 0.0000 0.0000 0.5000
Pt: 0.0000 0.0000 0.0000

## Properties
energy of formation from the pure elements = -24 kJ per mole of atoms